Density functional theory data (GGA-PBE) for LaHSeBr2 after structural relaxation.

```
data_LaHSeBr2
_chemical_formula_sum 'La1 H1 Se1 Br2'
_cell_length_a 5.136
_cell_length_b 5.136
_cell_length_c 4.061
_cell_angle_alpha 90.00
_cell_angle_beta 90.00
_cell_angle_gamma 90.00
_space_group_name_H-M_alt 'P 4/m m m'
_space_group_IT_number 123
_space_group_name_Hall '-P 4 2'
loop_
_atom_site_label
_atom_site_fract_x
_atom_site_fract_y
_atom_site_fract_z
La1 0.000 0.000 0.000
H1 0.500 0.500 0.500
Se1 0.500 0.500 0.000
Br1 0.000 0.500 0.500
```

Total magnetization: 0.0 μB/f.u.
Polymorph energy (0 for the lowest one): 0 kJ/mol of formula units
Total energy: -3.692 eV per atom


Density functional theory data (GGA-PBE) for La2H2SeBr after structural relaxation.

```
data_La2H2SeBr
_chemical_formula_sum 'La2 H2 Se1 Br1'
_cell_length_a 4.0961
_cell_length_b 4.0961
_cell_length_c 8.5489
_cell_angle_alpha 90.00
_cell_angle_beta 90.00
_cell_angle_gamma 120.00
_space_group_name_H-M_alt 'P -3 m 1'
_space_group_IT_number 164
_space_group_name_Hall '-P 3 2"'
loop_
_atom_site_label
_atom_site_fract_x
_atom_site_fract_y
_atom_site_fract_z
La1 0.3333 0.6667 0.2226
H1 0.3333 0.6667 0.7461
Se1 0.0000 0.0000 0.0000
Br1 0.0000 0.0000 0.5000
```

Total magnetization: 0.0 μB/f.u.
Total energy: -4.958 eV per atom


Density functional theory data (GGA-PBE) for LaHSe2Br after structural relaxation.

```
data_LaHSe2Br
_chemical_formula_sum 'La1 H1 Se2 Br1'
_cell_length_a 4.367
_cell_length_b 4.367
_cell_length_c 5.344
_cell_angle_alpha 90.00
_cell_angle_beta 90.00
_cell_angle_gamma 90.00
_space_group_name_H-M_alt 'P 4/m m m'
_space_group_IT_number 123
_space_group_name_Hall '-P 4 2'
loop_
_atom_site_label
_atom_site_fract_x
_atom_site_fract_y
_atom_site_fract_z
La1 0.000 0.000 0.000
H1 0.500 0.500 0.500
Se1 0.000 0.500 0.500
Br1 0.500 0.500 0.000
```

Total magnetization: 0.0 μB/f.u.
Polymorph energy (0 for the lowest one): 0 kJ/mol of formula units
Total energy: -4.045 eV per atom